# Al2NiPt3

Crystalline Al2NiPt3 at its relaxed geometry (GGA-PBE, Alexandria).

Unit cell a=7.4046 b=7.4046 c=7.4046 alpha=138.59 beta=60.45 gamma=138.00
Closest atoms and distances in Å follow each position.
Element x y z (fractional)
Al 0.1323 0.2498 0.3821  6 Pt 2.46-2.71, 2 Ni 2.52
Al 0.3677 0.7498 0.1176  6 Pt 2.46-2.71, 2 Ni 2.52
Al 0.6323 0.2502 0.8824  6 Pt 2.46-2.71, 2 Ni 2.52
Al 0.8677 0.7502 0.6179  6 Pt 2.46-2.71, 2 Ni 2.52
Ni 0.2500 0.2500 0.0000  4 Al 2.52, 2 Pt 2.62, 2 Ni 2.65
Ni 0.7500 0.7500 0.0000  4 Al 2.52, 2 Pt 2.62, 2 Ni 2.65
Pt 0.1759 0.7728 0.9487  4 Al 2.46-2.71
Pt 0.2500 0.7500 0.5000  4 Al 2.52, 2 Ni 2.62, 2 Pt 2.65
Pt 0.3241 0.2728 0.5969  4 Al 2.46-2.71
Pt 0.6759 0.7272 0.4031  4 Al 2.46-2.71
Pt 0.7500 0.2500 0.5000  4 Al 2.52, 2 Ni 2.62, 2 Pt 2.65
Pt 0.8241 0.2272 0.0513  4 Al 2.46-2.71

Values from the calculation:
DOS at the Fermi energy: 7.5 states/eV per cell
Total moment: 0.000 μB per atom
Volume: 14.815 Å³/atom
E_form: -0.67 eV per atom
Density: 13.04 g/cm3
E_tot: -5.906 eV per atom



# Al2NiPt

Crystalline Al2NiPt at its relaxed geometry (GGA-PBE, Alexandria).

Unit cell a=4.0682 b=4.0682 c=3.2778 alpha=90.00 beta=90.00 gamma=90.00
Closest atoms and distances in Å follow each position.
Element x y z (fractional)
Al 0.0000 0.5000 0.0000  4 Ni 2.61, 4 Pt 2.61, 4 Al 2.88
Al 0.5000 0.0000 0.0000  4 Ni 2.61, 4 Pt 2.61, 4 Al 2.88
Ni 0.0000 0.0000 0.5000  8 Al 2.61, 4 Pt 2.88
Pt 0.5000 0.5000 0.5000  8 Al 2.61, 4 Ni 2.88

Values from the calculation:
DOS at the Fermi energy: 2.9 states/eV per cell
Total moment: 0.000 μB per atom
Volume: 13.562 Å³/atom
E_form: -0.79 eV per atom
Density: 9.42 g/cm3
E_tot: -5.613 eV per atom



# Al4NiPt

Crystalline Al4NiPt at its relaxed geometry (GGA-PBE, Alexandria).

Unit cell a=5.0069 b=5.0069 c=5.0069 alpha=60.00 beta=60.00 gamma=60.00
Closest atoms and distances in Å follow each position.
Element x y z (fractional)
Al 0.1251 0.1251 0.1251  6 Al 2.50-2.51
Al 0.1251 0.1251 0.6247  6 Al 2.50-2.51
Al 0.1251 0.6247 0.1251  6 Al 2.50-2.51
Al 0.6247 0.1251 0.1251  6 Al 2.50-2.51
Ni 0.5000 0.5000 0.5000  12 Al 2.94, 4 Pt 3.07
Pt 0.7500 0.7500 0.7500  12 Al 2.94, 4 Ni 3.07

Values from the calculation:
DOS at the Fermi energy: 2.4 states/eV per cell
Total moment: 0.000 μB per atom
Volume: 14.793 Å³/atom
E_form: -0.02 eV per atom
Density: 6.77 g/cm3
E_tot: -4.486 eV per atom